Compound: Ta4FeTe
Source: Alexandria
Functional: PBE
Structure: relaxed

Structure (POSCAR):
```
Ta4FeTe
1.0
0.0000 3.8747 3.8747
3.8747 0.0000 3.8747
3.8747 3.8747 0.0000
Ta Te Fe
4 1 1
Direct
0.8772 0.3743 0.3743
0.3743 0.8772 0.3743
0.3743 0.3743 0.8772
0.3743 0.3743 0.3743
0.7500 0.7500 0.7500
0.0000 0.0000 0.0000
```

Computed properties:
The formation energy from raw total energies comes out at 0.65 eV/atom. As for the space group: F-43m. Its total energy is -9.189 eV per atom. The volume is 116 Å³ per cell.

=====

Compound: Ta2FeTe6
Source: Alexandria
Functional: PBE
Structure: relaxed

Structure (POSCAR):
```
Ta2FeTe6
1.0
6.8816 0.0000 0.5123
0.0000 6.9793 0.0000
-0.1266 0.0000 9.0077
Ta Te Fe
4 12 2
Direct
0.4754 0.1499 0.2439
0.9754 0.3501 0.7439
0.5246 0.8501 0.7561
0.0246 0.6499 0.2561
0.3518 0.5001 0.7458
0.3436 0.8296 0.0720
0.6639 0.1612 0.5697
0.8518 0.0000 0.2458
0.6482 0.4999 0.2542
0.8361 0.6612 0.9303
0.1639 0.3388 0.0697
0.1482 0.0000 0.7542
0.3361 0.8388 0.4303
0.8435 0.6704 0.5720
0.6564 0.1704 0.9280
0.1565 0.3296 0.4280
0.5000 0.5000 0.0000
0.0000 0.0000 0.5000
```

Computed properties:
The formation energy from raw total energies comes out at -0.04 eV/atom. As for the space group: P2_1/c. Its total energy is -5.710 eV per atom. The volume is 433 Å³ per cell.

=====

Compound: TaFeTe
Source: Alexandria
Functional: PBE
Structure: relaxed

Structure (POSCAR):
```
TaFeTe
1.0
-0.7634 -2.8222 -3.0475
2.9534 -0.7863 2.9144
-2.2865 -1.4586 1.9235
Fe Te Ta
1 1 1
Direct
0.0000 0.0000 0.9202
0.3333 0.6667 0.7893
0.6667 0.3333 0.2905
```

Computed properties:
The formation energy from raw total energies comes out at 0.31 eV/atom. As for the space group: P3m1. Its total energy is -7.506 eV per atom. The volume is 51 Å³ per cell.